# Ti2ZnHgPb | Alexandria | PBE | optimized geometry
# total moment: 0.000 μB/atom
# total DFT energy (no corrections): -18.33 eV for the cell shown
# DFT formation energy: 0.549 eV/atom
data_Ti2ZnHgPb
_chemical_formula_sum 'Ti2 Zn1 Hg1 Pb1'
_cell_length_a 4.842
_cell_length_b 4.842
_cell_length_c 4.835
_cell_angle_alpha 90.00
_cell_angle_beta 90.00
_cell_angle_gamma 90.00
_space_group_name_H-M_alt 'P 4/m m m'
_space_group_IT_number 123
_space_group_name_Hall '-P 4 2'
loop_
_atom_site_label
_atom_site_fract_x
_atom_site_fract_y
_atom_site_fract_z
Ti1 0.000 0.500 0.000
Zn1 0.000 0.000 0.000
Hg1 0.000 0.000 0.500
Pb1 0.500 0.500 0.500

***

# ZrTiHgPb | Alexandria | PBE | optimized geometry
# total moment: 0.237 μB/atom
# total DFT energy (no corrections): -81.00 eV for the cell shown
# DFT formation energy: 0.051 eV/atom
data_ZrTiHgPb
_chemical_formula_sum 'Zr4 Ti4 Hg4 Pb4'
_cell_length_a 7.005
_cell_length_b 7.005
_cell_length_c 7.005
_cell_angle_alpha 90.00
_cell_angle_beta 90.00
_cell_angle_gamma 90.00
_space_group_name_H-M_alt 'F -4 3 m'
_space_group_IT_number 216
_space_group_name_Hall 'F -4 2 3'
loop_
_atom_site_label
_atom_site_fract_x
_atom_site_fract_y
_atom_site_fract_z
Zr1 0.000 0.000 0.000
Ti1 0.000 0.000 0.500
Hg1 0.250 0.250 0.750
Pb1 0.250 0.250 0.250

***

# TlHg8Pb2 | Alexandria | PBE | optimized geometry
# total moment: 0.000 μB/atom
# total DFT energy (no corrections): -23.68 eV for the cell shown
# DFT formation energy: 0.032 eV/atom
# offset from the most stable computed form: 17 meV/atom
data_TlHg8Pb2
_chemical_formula_sum 'Tl2 Hg16 Pb4'
_cell_length_a 17.222
_cell_length_b 6.280
_cell_length_c 6.225
_cell_angle_alpha 90.00
_cell_angle_beta 110.83
_cell_angle_gamma 90.00
_space_group_name_H-M_alt 'C 1 2/m 1'
_space_group_IT_number 12
loop_
_space_group_symop_operation_xyz
'x,y,z'
'-x,-y,-z'
'-x,y,-z'
'x,-y,z'
'x+1/2,y+1/2,z'
'-x+1/2,-y+1/2,-z'
'-x+1/2,y+1/2,-z'
'x+1/2,-y+1/2,z'
loop_
_atom_site_label
_atom_site_fract_x
_atom_site_fract_y
_atom_site_fract_z
Tl1 0.000 0.000 0.000
Hg1 0.027 0.500 0.288
Hg2 0.096 0.000 0.530
Hg3 0.160 0.263 0.985
Pb1 0.228 0.500 0.533

***

# Tl6Hg3Pb | Alexandria | PBE | optimized geometry
# total moment: 0.000 μB/atom
# total DFT energy (no corrections): -55.84 eV for the cell shown
# DFT formation energy: 0.020 eV/atom
data_Tl6Hg3Pb
_chemical_formula_sum 'Tl18 Hg9 Pb3'
_cell_length_a 9.3471
_cell_length_b 9.3471
_cell_length_c 12.1956
_cell_angle_alpha 90.00
_cell_angle_beta 90.00
_cell_angle_gamma 120.00
_space_group_name_H-M_alt 'R 3'
_space_group_IT_number 146
_space_group_name_Hall 'R 3'
loop_
_atom_site_label
_atom_site_fract_x
_atom_site_fract_y
_atom_site_fract_z
Tl1 0.9997 0.3471 0.0000
Tl2 0.9998 0.6582 0.4999
Hg1 0.0000 0.0000 0.2561
Hg2 0.0000 0.0000 0.5012
Hg3 0.0000 0.0000 0.7463
Pb1 0.0000 0.0000 0.0010

***

# Tl2Hg3Pb | Alexandria | PBE | optimized geometry
# total moment: 0.000 μB/atom
# total DFT energy (no corrections): -18.49 eV for the cell shown
# DFT formation energy: 0.017 eV/atom
data_Tl2Hg3Pb
_chemical_formula_sum 'Tl4 Hg6 Pb2'
_cell_length_a 5.002
_cell_length_b 10.016
_cell_length_c 6.957
_cell_angle_alpha 90.00
_cell_angle_beta 90.00
_cell_angle_gamma 90.00
_space_group_name_H-M_alt 'P m c 21'
_space_group_IT_number 26
loop_
_space_group_symop_operation_xyz
'x,y,z'
'-x,-y,z+1/2'
'-x,y,z'
'x,-y,z+1/2'
loop_
_atom_site_label
_atom_site_fract_x
_atom_site_fract_y
_atom_site_fract_z
Tl1 0.000 0.078 0.000
Tl2 0.500 0.236 0.735
Hg1 0.000 0.264 0.451
Hg2 0.000 0.415 0.928
Hg3 0.500 0.089 0.279
Pb1 0.500 0.414 0.222

***

# Tl4Hg3Pb4 | Alexandria | PBE | optimized geometry
# total moment: 0.000 μB/atom
# total DFT energy (no corrections): -25.01 eV for the cell shown
# DFT formation energy: 0.018 eV/atom
data_Tl4Hg3Pb4
_chemical_formula_sum 'Tl4 Hg3 Pb4'
_cell_length_a 3.311
_cell_length_b 5.317
_cell_length_c 18.828
_cell_angle_alpha 81.98
_cell_angle_beta 85.34
_cell_angle_gamma 90.00
_space_group_name_H-M_alt 'P -1'
_space_group_IT_number 2
loop_
_space_group_symop_operation_xyz
'x,y,z'
'-x,-y,-z'
loop_
_atom_site_label
_atom_site_fract_x
_atom_site_fract_y
_atom_site_fract_z
Tl1 0.088 0.088 0.321
Tl2 0.275 0.275 0.951
Hg1 0.000 0.000 0.500
Hg2 0.364 0.365 0.771
Pb1 0.181 0.181 0.138
Pb2 0.455 0.455 0.591

***

# Tl7Hg12Pb | Alexandria | PBE | optimized geometry
# total moment: 0.000 μB/atom
# total DFT energy (no corrections): -70.58 eV for the cell shown
# DFT formation energy: 0.018 eV/atom
data_Tl7Hg12Pb
_chemical_formula_sum 'Tl21 Hg36 Pb3'
_cell_length_a 12.1645
_cell_length_b 12.1645
_cell_length_c 13.7482
_cell_angle_alpha 90.00
_cell_angle_beta 90.00
_cell_angle_gamma 120.00
_space_group_name_H-M_alt 'R -3'
_space_group_IT_number 148
_space_group_name_Hall '-R 3'
loop_
_atom_site_label
_atom_site_fract_x
_atom_site_fract_y
_atom_site_fract_z
Tl1 0.0000 0.0000 0.0000
Tl2 0.0479 0.1871 0.2952
Hg1 0.0326 0.4530 0.2101
Hg2 0.0616 0.6005 0.5826
Pb1 0.0000 0.0000 0.5000

***

# TlHg2Pb4 | Alexandria | PBE | optimized geometry
# total moment: 0.000 μB/atom
# total DFT energy (no corrections): -34.93 eV for the cell shown
# DFT formation energy: 0.048 eV/atom
# offset from the most stable computed form: 33 meV/atom
data_TlHg2Pb4
_chemical_formula_sum 'Tl2 Hg4 Pb8'
_cell_length_a 9.912
_cell_length_b 9.912
_cell_length_c 4.550
_cell_angle_alpha 90.00
_cell_angle_beta 90.00
_cell_angle_gamma 90.00
_space_group_name_H-M_alt 'P 42/m n m'
_space_group_IT_number 136
_space_group_name_Hall '-P 4n 2n'
loop_
_atom_site_label
_atom_site_fract_x
_atom_site_fract_y
_atom_site_fract_z
Tl1 0.000 0.000 0.000
Hg1 0.161 0.161 0.500
Pb1 0.096 0.655 0.500

***

# Tl2Hg5Pb2 | Alexandria | PBE | optimized geometry
# total moment: 0.000 μB/atom
# total DFT energy (no corrections): -53.43 eV for the cell shown
# DFT formation energy: 0.033 eV/atom
data_Tl2Hg5Pb2
_chemical_formula_sum 'Tl8 Hg20 Pb8'
_cell_length_a 14.536
_cell_length_b 11.758
_cell_length_c 6.104
_cell_angle_alpha 90.00
_cell_angle_beta 90.00
_cell_angle_gamma 90.00
_space_group_name_H-M_alt 'I m a 2'
_space_group_IT_number 46
loop_
_space_group_symop_operation_xyz
'x,y,z'
'-x,-y,z'
'-x+1/2,y,z'
'x+1/2,-y,z'
'x+1/2,y+1/2,z+1/2'
'-x+1/2,-y+1/2,z+1/2'
'-x,y+1/2,z+1/2'
'x,-y+1/2,z+1/2'
loop_
_atom_site_label
_atom_site_fract_x
_atom_site_fract_y
_atom_site_fract_z
Tl1 0.000 0.000 0.000
Tl2 0.250 0.012 0.013
Hg1 0.060 0.238 0.282
Hg2 0.147 0.742 0.731
Hg3 0.250 0.209 0.542
Pb1 0.120 0.513 0.011

***

# Tl5Hg2Pb4 | Alexandria | PBE | optimized geometry
# total moment: 0.000 μB/atom
# total DFT energy (no corrections): -75.66 eV for the cell shown
# DFT formation energy: 0.186 eV/atom
# offset from the most stable computed form: 161 meV/atom
data_Tl5Hg2Pb4
_chemical_formula_sum 'Tl15 Hg6 Pb12'
_cell_length_a 4.8238
_cell_length_b 4.8238
_cell_length_c 61.5710
_cell_angle_alpha 90.00
_cell_angle_beta 90.00
_cell_angle_gamma 120.00
_space_group_name_H-M_alt 'R -3 m'
_space_group_IT_number 166
_space_group_name_Hall '-R 3 2"'
loop_
_atom_site_label
_atom_site_fract_x
_atom_site_fract_y
_atom_site_fract_z
Tl1 0.0000 0.0000 0.0000
Tl2 0.0000 0.0000 0.1235
Tl3 0.0000 0.0000 0.2833
Hg1 0.0000 0.0000 0.3617
Pb1 0.0000 0.0000 0.0711
Pb2 0.0000 0.0000 0.1796

***

# Tl5Hg4Pb4 | Alexandria | PBE | optimized geometry
# total moment: 0.000 μB/atom
# total DFT energy (no corrections): -55.28 eV for the cell shown
# DFT formation energy: 0.018 eV/atom
data_Tl5Hg4Pb4
_chemical_formula_sum 'Tl10 Hg8 Pb8'
_cell_length_a 12.110
_cell_length_b 12.110
_cell_length_c 5.261
_cell_angle_alpha 90.00
_cell_angle_beta 90.00
_cell_angle_gamma 90.00
_space_group_name_H-M_alt 'I 4/m'
_space_group_IT_number 87
_space_group_name_Hall '-I 4'
loop_
_atom_site_label
_atom_site_fract_x
_atom_site_fract_y
_atom_site_fract_z
Tl1 0.000 0.000 0.000
Tl2 0.082 0.812 0.500
Hg1 0.124 0.232 0.000
Pb1 0.094 0.606 0.000

***

# TlHg2Pb | Alexandria | PBE | optimized geometry
# total moment: 0.000 μB/atom
# total DFT energy (no corrections): -6.61 eV for the cell shown
# DFT formation energy: 0.016 eV/atom
data_TlHg2Pb
_chemical_formula_sum 'Tl1 Hg2 Pb1'
_cell_length_a 5.746
_cell_length_b 5.746
_cell_length_c 3.474
_cell_angle_alpha 90.00
_cell_angle_beta 90.00
_cell_angle_gamma 90.00
_space_group_name_H-M_alt 'P 4/m m m'
_space_group_IT_number 123
_space_group_name_Hall '-P 4 2'
loop_
_atom_site_label
_atom_site_fract_x
_atom_site_fract_y
_atom_site_fract_z
Tl1 0.000 0.000 0.000
Hg1 0.000 0.500 0.500
Pb1 0.500 0.500 0.000